(1)
# Be2ZnRh SCAN single point on PBEsol structure
# Magnetization in μB/f.u.: 0.000
# ΔE_f in eV per atom: -0.49
# E_tot in eV/atom: -14.487
data_Be2ZnRh
_chemical_formula_sum 'Be2 Zn1 Rh1'
_cell_length_a 3.831
_cell_length_b 3.831
_cell_length_c 2.857
_cell_angle_alpha 90.00
_cell_angle_beta 90.00
_cell_angle_gamma 90.00
_space_group_name_H-M_alt 'P 4/m m m'
_space_group_IT_number 123
_space_group_name_Hall '-P 4 2'
loop_
_atom_site_label
_atom_site_type_symbol
_atom_site_fract_x
_atom_site_fract_y
_atom_site_fract_z
_atom_site_occupancy
Be1 Be 0.000 0.500 0.000 1
Zn1 Zn 0.000 0.000 0.500 1
Rh1 Rh 0.500 0.500 0.500 1


(2)
# TlBr2Cl SCAN single point on PBEsol structure
# ΔE to the lowest computed polymorph in eV/atom: 0.321
# Formation energy without anion corrections in eV per atom: -0.198
# Magnetization in μB/f.u.: 0.000
# E_tot in eV/atom: -30.012
data_TlBr2Cl
_chemical_formula_sum 'Tl2 Br4 Cl2'
_cell_length_a 4.158
_cell_length_b 4.158
_cell_length_c 12.577
_cell_angle_alpha 90.00
_cell_angle_beta 90.00
_cell_angle_gamma 90.00
_space_group_name_H-M_alt 'I -4 m 2'
_space_group_IT_number 119
_space_group_name_Hall 'I -4 -2'
loop_
_atom_site_label
_atom_site_type_symbol
_atom_site_fract_x
_atom_site_fract_y
_atom_site_fract_z
_atom_site_occupancy
Tl1 Tl 0.000 0.000 0.000 1
Br1 Br 0.000 0.000 0.500 1
Br2 Br 0.000 0.500 0.250 1
Cl1 Cl 0.000 0.500 0.750 1


(3)
# ScRuCl SCAN single point on PBEsol structure
# Formation energy without anion corrections in eV per atom: -0.488
# Magnetization in μB/f.u.: 0.000
# E_tot in eV/atom: -19.501
data_ScRuCl
_chemical_formula_sum 'Sc4 Ru4 Cl4'
_cell_length_a 3.296
_cell_length_b 5.001
_cell_length_c 12.966
_cell_angle_alpha 90.00
_cell_angle_beta 90.00
_cell_angle_gamma 90.00
_space_group_name_H-M_alt 'F m m 2'
_space_group_IT_number 42
_space_group_name_Hall 'F 2 -2'
loop_
_atom_site_label
_atom_site_type_symbol
_atom_site_fract_x
_atom_site_fract_y
_atom_site_fract_z
_atom_site_occupancy
Sc1 Sc 0.000 0.000 0.000 1
Ru1 Ru 0.000 0.000 0.355 1
Cl1 Cl 0.000 0.000 0.646 1